1.
The following is a PBE calculation of MgNiRu2 after structural relaxation, from the Alexandria database.

For the calculated formation energy, the calculation gives 0.06 eV/atom. For the total magnetization, the calculation gives 0.0 μB per formula unit. The value obtained for the density of states at the Fermi level is 4.4 states/eV per cell. Its crystal system is orthorhombic.

The space group is Pmm2 (No. 25) and the conventional cell measures 2.7590, 3.7112 and 5.4941 Å, with angles of 90.00, 90.00 and 90.00 degrees. Symmetry generates all atoms from Mg at (0.0000, 0.0000, 0.0000), Ni at (0.5000, 0.5000, 0.2360), Ru at (0.0000, 0.0000, 0.4931) and Ru at (0.5000, 0.5000, 0.7056).

---

2.
The following is a PBE calculation of Na2BeAsS4 after structural relaxation, from the Alexandria database.

For the total magnetization, the calculation gives 0.0 μB per formula unit. The value obtained for the density of states at the Fermi level is 10.5 states/eV per cell. Its crystal system is tetragonal. The calculation puts the uncorrected formation energy at -5.308 eV per formula unit.

The space group is I-4 (No. 82) and the conventional cell measures 6.3367, 6.3367 and 8.7820 Å, with angles of 90.00, 90.00 and 90.00 degrees. Symmetry generates all atoms from Na at (0.0000, 0.0000, 0.0000), Na at (0.0000, 0.5000, 0.2500), Be at (0.0000, 0.0000, 0.5000), As at (0.0000, 0.5000, 0.7500) and S at (0.1783, 0.7644, 0.6112).

---

3.
The following is a PBE calculation of CsKAu after structural relaxation, from the Alexandria database.

For the calculated formation energy, the calculation gives -0.18 eV/atom. For the total magnetization, the calculation gives 0.0 μB per formula unit. The value obtained for the density of states at the Fermi level is 19.3 states/eV per cell. Its crystal system is orthorhombic.

The space group is Fddd (No. 70, origin choice 2) and the conventional cell measures 6.8560, 13.5014 and 24.4389 Å, with angles of 90.00, 90.00 and 90.00 degrees. Symmetry generates all atoms from Cs at (0.1250, 0.2779, 0.1250), K at (0.1250, 0.1250, 0.5306) and Au at (0.1250, 0.1250, 0.2516).

---

4.
The following is a PBE calculation of Sm3Er8Sc after structural relaxation, from the Alexandria database.

For the calculated formation energy, the calculation gives 0.62 eV/atom. For the total magnetization, the calculation gives 0.0 μB per formula unit. The value obtained for the density of states at the Fermi level is 37.3 states/eV per cell. Its crystal system is tetragonal.

The space group is I-42m (No. 121) and the conventional cell measures 8.6534, 8.6534 and 11.2198 Å, with angles of 90.00, 90.00 and 90.00 degrees. Symmetry generates all atoms from Sm at (0.0000, 0.0000, 0.0000), Sm at (0.0000, 0.5000, 0.2500), Er at (0.1261, 0.1261, 0.7384), Er at (0.2333, 0.2333, 0.4735) and Sc at (0.0000, 0.0000, 0.5000).

---

5.
The following is a PBE calculation of Na2Sb4Pt5 after structural relaxation, from the Alexandria database.

For the total magnetization, the calculation gives 0.0 μB per formula unit. The value obtained for the density of states at the Fermi level is 18.7 states/eV per cell. Its crystal system is orthorhombic. The calculation puts the uncorrected formation energy at -3.580 eV per formula unit.

The space group is Fmmm (No. 69) and the conventional cell measures 5.6509, 11.0104 and 16.6102 Å, with angles of 90.00, 90.00 and 90.00 degrees. Symmetry generates all atoms from Na at (0.0000, 0.0000, 0.1002), Sb at (0.0000, 0.1586, 0.3739), Pt at (0.0000, 0.0000, 0.5000), Pt at (0.2500, 0.2500, 0.0000) and Pt at (0.2500, 0.2500, 0.2500).

---

6.
The following is a PBE calculation of SrIn2Sn3 after structural relaxation, from the Alexandria database.

For the energy above the most stable polymorph in this dataset, the calculation gives 0 meV per atom. For the calculated formation energy, the calculation gives -0.23 eV/atom. For the total magnetization, the calculation gives 0.0 μB per formula unit. The value obtained for the density of states at the Fermi level is 7.8 states/eV per cell. Its crystal system is monoclinic.

The space group is C2/c (No. 15) and the conventional cell measures 6.7588, 11.1183 and 9.1254 Å, with angles of 90.00, 91.35 and 90.00 degrees. Symmetry generates all atoms from Sr at (0.0000, 0.1307, 0.2500), In at (0.2023, 0.1394, 0.8985), Sn at (0.0000, 0.4000, 0.7500) and Sn at (0.2028, 0.3923, 0.4323).

---

no.,E_tot (eV/atom)
1,-6.424
2,-4.104
3,-1.925
4,-4.134
5,-4.810
6,-3.427